10
Lattice="5.420 0.000 0.000 2.710 4.694 0.000 2.710 1.565 4.541" Properties=species:S:1:pos:R:3 comment="Tl2GaFeO6, optimized geometry, DFT GGA+U" density_g_cm3=9.06 magmom_total_mub_per_cell=1.02 spacegroup="No. 146" total_energy_ev_per_cell=-52.54 pbc="T T T"
Tl 5.420 3.129 1.658
Tl 2.710 1.565 3.885
Ga 2.710 1.564 0.280
Fe 8.129 4.694 2.499
O 4.391 1.226 1.286
O 4.285 4.972 1.286
O 7.582 3.190 1.286
O 6.477 4.367 3.532
O 5.963 1.594 3.532
O 3.819 3.426 3.532